No. 1
Density functional theory data (GGA-PBE) for AcPm2Bi after structural relaxation.

The value obtained for the offset from the most stable computed form is 0 meV/atom. The formation energy from the elements is -388 meV per atom.

The structure belongs to space group P4/mmm (No. 123); the cell edges are 5.149, 5.149 and 4.996 Å and the angles 90.00°, 90.00° and 90.00°. The distinct sites, in fractional coordinates, are Ac at (0.000, 0.000, 0.000), Pm at (0.000, 0.500, 0.500) and Bi at (0.500, 0.500, 0.000).

---

No. 2
Density functional theory data (GGA-PBE) for AcPm2Bi after structural relaxation.

The value obtained for the offset from the most stable computed form is 174 meV/atom. The formation energy from the elements is -214 meV per atom.

The structure belongs to space group Fm-3m (No. 225); the cell edges are 8.086, 8.086 and 8.086 Å and the angles 90.00°, 90.00° and 90.00°. The distinct sites, in fractional coordinates, are Ac at (0.000, 0.000, 0.000), Pm at (0.250, 0.250, 0.250) and Bi at (0.000, 0.000, 0.500).

---

No. 3
Density functional theory data (GGA-PBE) for AcPm3Bi4 after structural relaxation.

The value obtained for the offset from the most stable computed form is 13 meV/atom. The formation energy from the elements is -927 meV per atom.

The structure belongs to space group Pm-3m (No. 221); the cell edges are 6.593, 6.593 and 6.593 Å and the angles 90.00°, 90.00° and 90.00°. The distinct sites, in fractional coordinates, are Ac at (0.000, 0.000, 0.000), Pm at (0.000, 0.500, 0.500), Bi at (0.000, 0.000, 0.500) and Bi at (0.500, 0.500, 0.500).

---

No. 4
Density functional theory data (GGA-PBE) for AcPm5Bi4 after structural relaxation.

The formation energy from the elements is -454 meV per atom.

The structure belongs to space group Pmmn (No. 59, origin choice 2); the cell edges are 10.726, 11.118 and 6.205 Å and the angles 90.00°, 90.00° and 90.00°. The distinct sites, in fractional coordinates, are Ac at (0.250, 0.250, 0.000), Pm at (0.000, 0.000, 0.252), Pm at (0.250, 0.750, 0.499), Bi at (0.063, 0.250, 0.500) and Bi at (0.250, 0.583, 0.000).

---

No. 5
Density functional theory data (GGA-PBE) for AcPm4Bi5 after structural relaxation.

The formation energy from the elements is -937 meV per atom.

The structure belongs to space group Immm (No. 71); the cell edges are 4.640, 6.575 and 23.198 Å and the angles 90.00°, 90.00° and 90.00°. The distinct sites, in fractional coordinates, are Ac at (0.000, 0.000, 0.000), Pm at (0.000, 0.000, 0.203), Pm at (0.000, 0.000, 0.399), Bi at (0.000, 0.500, 0.000), Bi at (0.000, 0.500, 0.199) and Bi at (0.000, 0.500, 0.394).

---

No. 6
Density functional theory data (GGA-PBE) for Ac2PmBi3 after structural relaxation.

The formation energy from the elements is -924 meV per atom.

The structure belongs to space group P6_3/mmc (No. 194); the cell edges are 4.7525, 4.7525 and 23.8395 Å and the angles 90.00°, 90.00° and 120.00°. The distinct sites, in fractional coordinates, are Ac at (0.3333, 0.6667, 0.0856), Pm at (0.0000, 0.0000, 0.2500), Bi at (0.0000, 0.0000, 0.0000) and Bi at (0.3333, 0.6667, 0.6711).

---

No. 7
Density functional theory data (GGA-PBE) for AcPmBi2 after structural relaxation.

The value obtained for the offset from the most stable computed form is 239 meV/atom. The formation energy from the elements is -721 meV per atom.

The structure belongs to space group P4/mmm (No. 123); the cell edges are 4.045, 4.045 and 8.266 Å and the angles 90.00°, 90.00° and 90.00°. The distinct sites, in fractional coordinates, are Ac at (0.000, 0.000, 0.000), Pm at (0.000, 0.000, 0.500) and Bi at (0.500, 0.500, 0.268).

---

No. 8
Density functional theory data (GGA-PBE) for AcPm2Bi after structural relaxation.

The value obtained for the offset from the most stable computed form is 178 meV/atom. The formation energy from the elements is -210 meV per atom.

The structure belongs to space group R-3m (No. 166, hexagonal axes); the cell edges are 3.8013, 3.8013 and 33.7711 Å and the angles 90.00°, 90.00° and 120.00°. The distinct sites, in fractional coordinates, are Ac at (0.0000, 0.0000, 0.0000), Pm at (0.0000, 0.0000, 0.2435) and Bi at (0.0000, 0.0000, 0.5000).

---

DFT total energy / eV per atom: -4.76, -4.59, -5.16, -4.79, -5.19, -5.03, -4.88, -4.58